The following is a GGA+U calculation of a geometry-optimized Ba2CaFe2O6 structure, from Alexandria.

Structure (CIF):
```
data_Ba2CaFe2O6
_space_group_name_H-M_alt 'P 1'
_space_group_IT_number 1
_cell_length_a 6.0926
_cell_length_b 6.0926
_cell_length_c 6.9191
_cell_angle_alpha 63.88
_cell_angle_beta 63.88
_cell_angle_gamma 60.00
loop_
_space_group_symop_operation_xyz
'x,y,z'
loop_
_atom_site_label
_atom_site_type_symbol
_atom_site_fract_x
_atom_site_fract_y
_atom_site_fract_z
Ba1 Ba 0.7891 0.7891 0.6328
Ba2 Ba 0.2109 0.2109 0.3672
Ca1 Ca 0.0000 0.0000 0.0000
Fe1 Fe 0.4286 0.4286 0.7143
Fe2 Fe 0.5714 0.5714 0.2857
O1 O 0.7485 0.7485 0.2685
O2 O 0.2344 0.7485 0.2685
O3 O 0.7485 0.2344 0.2685
O4 O 0.2515 0.7656 0.7315
O5 O 0.7656 0.2515 0.7315
O6 O 0.2515 0.2515 0.7315
```

Output
**E**: -6.266 eV/atom
**Total magnetization**: 8.00 μB per formula unit